No. 1
The following is a DFT calculation (PBE) of Nd7DyY12 after structural relaxation.

## Properties
**Crystal system**: cubic
**Calculated formation energy**: 629 meV per atom
**SG**: Im-3m (229)
**N(E_F)**: 28.133 states/eV per cell

a = 9.833 Å, b = 9.833 Å, c = 9.833 Å
α = 109.47°, β = 109.47°, γ = 109.47°
Sites, in units of the cell vectors:
Nd: 0.000 0.000 0.500
Nd: 0.000 0.500 0.000
Nd: 0.000 0.500 0.500
Nd: 0.500 0.000 0.000
Nd: 0.500 0.000 0.500
Nd: 0.500 0.500 0.000
Nd: 0.500 0.500 0.500
Dy: 0.000 0.000 0.000
Y: 0.000 0.247 0.753
Y: 0.000 0.753 0.247
Y: 0.247 0.000 0.753
Y: 0.247 0.247 0.495
Y: 0.247 0.495 0.247
Y: 0.247 0.753 0.000
Y: 0.495 0.247 0.247
Y: 0.505 0.753 0.753
Y: 0.753 0.000 0.247
Y: 0.753 0.247 0.000
Y: 0.753 0.505 0.753
Y: 0.753 0.753 0.505

No. 2
The following is a DFT calculation (PBE) of HfScAu after structural relaxation.

## Properties
**Crystal system**: triclinic
**Calculated formation energy**: -434 meV per atom
**SG**: P-1 (2)
**N(E_F)**: 8.013 states/eV per cell

a = 3.273 Å, b = 6.249 Å, c = 6.589 Å
α = 105.71°, β = 90.03°, γ = 105.16°
Sites, in units of the cell vectors:
Hf: 0.161 0.323 0.334
Hf: 0.839 0.677 0.666
Sc: 0.158 0.314 0.825
Sc: 0.842 0.686 0.175
Au: 0.500 0.000 0.000
Au: 0.500 0.000 0.500